1.
{"formula": "ZrTeAs", "functional": "meta-GGA SCAN", "state": "PBEsol geometry", "n_ef_per_ev_cell": 3.956, "raw_formation_energy_ev_per_atom": -0.10, "dft_energy_ev_per_cell": -88.43, "vol_a3_per_cell": 72.6, "lattice_angstrom": [[0.0000, 3.3107, 3.3107], [3.3107, 0.0000, 3.3107], [3.3107, 3.3107, 0.0000]], "species": ["Zr", "Te", "As"], "frac_coords": [[0.0000, 0.0000, 0.0000], [0.5000, 0.5000, 0.5000], [0.2500, 0.2500, 0.2500]]}

2.
{"formula": "NiMoRh", "functional": "meta-GGA SCAN", "state": "PBEsol geometry", "n_ef_per_ev_cell": 2.117, "formation_enthalpy_0k_mev_per_atom": -138, "dft_energy_ev_per_cell": -85.24, "polymorph_energy_ev_per_atom": 0.000, "vol_a3_per_cell": 39.0, "lattice_angstrom": [[-1.3341, 1.8499, 3.9513], [1.3341, -1.8499, 3.9513], [1.3341, 1.8499, -3.9513]], "species": ["Ni", "Mo", "Rh"], "frac_coords": [[0.0000, 0.0000, 0.0000], [0.3364, 0.3364, 0.0000], [0.6644, 0.6644, 0.0000]]}

3.
{"formula": "Li2NiO2", "functional": "meta-GGA SCAN", "state": "PBEsol geometry", "n_ef_per_ev_cell": 0.000, "raw_formation_energy_ev_per_atom": -1.74, "dft_energy_ev_per_cell": -42.13, "polymorph_energy_ev_per_atom": 0.000, "vol_a3_per_cell": 45.7, "lattice_angstrom": [[-1.3813, 1.8937, 4.3668], [1.3813, -1.8937, 4.3668], [1.3813, 1.8937, -4.3668]], "species": ["Li", "Li", "Ni", "O", "O"], "frac_coords": [[0.1931, 0.1931, 0.0000], [0.8069, 0.8069, 0.0000], [0.5000, 0.5000, 0.0000], [0.3569, 0.8569, 0.5000], [0.6431, 0.1431, 0.5000]]}

4.
{"formula": "ZnFe2H2", "functional": "meta-GGA SCAN", "state": "PBEsol geometry", "n_ef_per_ev_cell": 2.257, "dft_energy_ev_per_cell": -56.39, "vol_a3_per_cell": 39.6, "lattice_angstrom": [[-1.5220, 1.5220, 4.2689], [1.5220, -1.5220, 4.2689], [1.5220, 1.5220, -4.2689]], "species": ["Zn", "Fe", "Fe", "H", "H"], "frac_coords": [[0.0000, 0.0000, 0.0000], [0.3404, 0.3404, 0.0000], [0.6596, 0.6596, 0.0000], [0.2500, 0.7500, 0.5000], [0.7500, 0.2500, 0.5000]]}

5.
{"formula": "Sr2Zn", "functional": "meta-GGA SCAN", "state": "PBEsol geometry", "n_ef_per_ev_cell": 5.450, "formation_enthalpy_0k_mev_per_atom": -138, "dft_energy_ev_per_cell": -116.96, "vol_a3_per_cell": 224.7, "lattice_angstrom": [[7.0807, -2.1405, 0.0000], [7.0807, 2.1405, 0.0000], [-5.5284, 0.0000, 7.4126]], "species": ["Sr", "Sr", "Sr", "Sr", "Zn", "Zn"], "frac_coords": [[0.0844, 0.0844, 0.3799], [0.3241, 0.3241, 0.9169], [0.6759, 0.6759, 0.0831], [0.9156, 0.9156, 0.6201], [0.3924, 0.3924, 0.3371], [0.6076, 0.6076, 0.6629]]}

6.
{"formula": "MnSe4Cl", "functional": "meta-GGA SCAN", "state": "PBEsol geometry", "n_ef_per_ev_cell": 2.657, "raw_formation_energy_ev_per_atom": 0.28, "dft_energy_ev_per_cell": -104.88, "vol_a3_per_cell": 122.6, "lattice_angstrom": [[0.0000, 3.9434, 3.9434], [3.9434, 0.0000, 3.9434], [3.9434, 3.9434, 0.0000]], "species": ["Mn", "Se", "Se", "Se", "Se", "Cl"], "frac_coords": [[0.0000, 0.0000, 0.0000], [0.1245, 0.6252, 0.6252], [0.6252, 0.1245, 0.6252], [0.6252, 0.6252, 0.1245], [0.6252, 0.6252, 0.6252], [0.2500, 0.2500, 0.2500]]}

7.
{"formula": "BeP3", "functional": "meta-GGA SCAN", "state": "PBEsol geometry", "n_ef_per_ev_cell": 1.550, "formation_enthalpy_0k_mev_per_atom": 552, "dft_energy_ev_per_cell": -33.34, "polymorph_energy_ev_per_atom": 0.307, "vol_a3_per_cell": 55.0, "lattice_angstrom": [[2.3928, 0.0000, 0.0000], [0.0000, 2.3928, 0.0000], [0.0000, 0.0000, 9.6053]], "species": ["Be", "P", "P", "P"], "frac_coords": [[0.0000, 0.0000, 0.0000], [0.0000, 0.0000, 0.5000], [0.5000, 0.5000, 0.1866], [0.5000, 0.5000, 0.8134]]}

8.
{"formula": "La2Pt2O7", "functional": "meta-GGA SCAN", "state": "PBEsol geometry", "raw_formation_energy_ev_per_atom": -2.11, "dft_energy_ev_per_cell": -1173.56, "polymorph_energy_ev_per_atom": 0.085, "vol_a3_per_cell": 573.9, "lattice_angstrom": [[7.8407, 0.0000, 0.0000], [0.0000, 5.5816, 0.0000], [-1.9417, 0.0000, 13.1134]], "species": ["La", "La", "La", "La", "La", "La", "La", "La", "Pt", "Pt", "Pt", "Pt", "Pt", "Pt", "Pt", "Pt", "O", "O", "O", "O", "O", "O", "O", "O", "O", "O", "O", "O", "O", "O", "O", "O", "O", "O", "O", "O", "O", "O", "O", "O", "O", "O", "O", "O"], "frac_coords": [[0.1452, 0.0000, 0.0740], [0.2267, 0.4432, 0.4072], [0.2831, 0.9267, 0.6294], [0.3544, 0.4611, 0.8975], [0.6456, 0.9611, 0.1025], [0.7169, 0.4267, 0.3706], [0.7733, 0.9432, 0.5928], [0.8548, 0.5000, 0.9260], [0.0276, 0.4429, 0.6104], [0.0753, 0.9452, 0.8126], [0.4183, 0.4452, 0.1850], [0.4730, 0.9405, 0.3882], [0.5270, 0.4405, 0.6118], [0.5817, 0.9452, 0.8150], [0.9247, 0.4452, 0.1874], [0.9724, 0.9429, 0.3896], [0.0173, 0.1291, 0.6810], [0.0528, 0.7398, 0.5204], [0.0789, 0.2169, 0.9090], [0.1231, 0.7306, 0.9303], [0.1262, 0.6441, 0.7320], [0.1769, 0.3391, 0.2068], [0.2274, 0.0231, 0.4074], [0.2722, 0.3545, 0.5909], [0.3279, 0.0545, 0.8118], [0.3728, 0.7264, 0.0984], [0.4037, 0.2431, 0.0603], [0.4280, 0.6235, 0.3181], [0.4577, 0.7365, 0.5202], [0.4895, 0.6401, 0.7352], [0.5105, 0.1401, 0.2648], [0.5423, 0.2365, 0.4798], [0.5720, 0.1235, 0.6819], [0.5963, 0.7431, 0.9397], [0.6272, 0.2264, 0.9016], [0.6721, 0.5545, 0.1882], [0.7278, 0.8545, 0.4091], [0.7726, 0.5231, 0.5926], [0.8231, 0.8391, 0.7932], [0.8738, 0.1441, 0.2680], [0.8769, 0.2306, 0.0697], [0.9211, 0.7169, 0.0910], [0.9472, 0.2398, 0.4796], [0.9827, 0.6291, 0.3190]]}

9.
{"formula": "BeAs2Se", "functional": "meta-GGA SCAN", "state": "PBEsol geometry", "n_ef_per_ev_cell": 1.462, "raw_formation_energy_ev_per_atom": 0.73, "dft_energy_ev_per_cell": -61.90, "polymorph_energy_ev_per_atom": 1.083, "vol_a3_per_cell": 66.8, "lattice_angstrom": [[0.0000, 3.2212, 3.2212], [3.2212, 0.0000, 3.2212], [3.2212, 3.2212, 0.0000]], "species": ["Be", "As", "As", "Se"], "frac_coords": [[0.0000, 0.0000, 0.0000], [0.2500, 0.2500, 0.2500], [0.7500, 0.7500, 0.7500], [0.5000, 0.5000, 0.5000]]}

10.
{"formula": "RbCaI3", "functional": "meta-GGA SCAN", "state": "PBEsol geometry", "n_ef_per_ev_cell": 0.000, "raw_formation_energy_ev_per_atom": -1.69, "dft_energy_ev_per_cell": -149.09, "vol_a3_per_cell": 223.4, "lattice_angstrom": [[6.0675, 0.0000, 0.0000], [0.0000, 6.0675, 0.0000], [0.0000, 0.0000, 6.0675]], "species": ["Rb", "Ca", "I", "I", "I"], "frac_coords": [[0.0000, 0.0000, 0.0000], [0.5000, 0.5000, 0.5000], [0.0000, 0.5000, 0.5000], [0.5000, 0.0000, 0.5000], [0.5000, 0.5000, 0.0000]]}

11.
{"formula": "LiCa2Ga2", "functional": "meta-GGA SCAN", "state": "PBEsol geometry", "n_ef_per_ev_cell": 3.333, "formation_enthalpy_0k_mev_per_atom": -211, "dft_energy_ev_per_cell": -55.46, "polymorph_energy_ev_per_atom": 0.151, "vol_a3_per_cell": 132.2, "lattice_angstrom": [[-2.9202, 2.9202, 3.8750], [2.9202, -2.9202, 3.8750], [2.9202, 2.9202, -3.8750]], "species": ["Li", "Ca", "Ca", "Ga", "Ga"], "frac_coords": [[0.0000, 0.0000, 0.0000], [0.2500, 0.7500, 0.5000], [0.7500, 0.2500, 0.5000], [0.3462, 0.3462, 0.0000], [0.6538, 0.6538, 0.0000]]}

12.
{"formula": "Ce3Pb", "functional": "meta-GGA SCAN", "state": "PBEsol geometry", "n_ef_per_ev_cell": 6.998, "formation_enthalpy_0k_mev_per_atom": -448, "dft_energy_ev_per_cell": -211.27, "vol_a3_per_cell": 105.1, "lattice_angstrom": [[4.7187, 0.0000, 0.0000], [0.0000, 4.7187, 0.0000], [0.0000, 0.0000, 4.7187]], "species": ["Ce", "Ce", "Ce", "Pb"], "frac_coords": [[0.0000, 0.0000, 0.5000], [0.0000, 0.5000, 0.0000], [0.5000, 0.0000, 0.0000], [0.5000, 0.5000, 0.5000]]}

13.
{"formula": "AlOsPt2", "functional": "meta-GGA SCAN", "state": "PBEsol geometry", "n_ef_per_ev_cell": 2.254, "formation_enthalpy_0k_mev_per_atom": -343, "dft_energy_ev_per_cell": -221.39, "vol_a3_per_cell": 57.3, "lattice_angstrom": [[1.3925, 0.8040, 8.5309], [-1.3925, 0.8040, 8.5309], [0.0000, -1.6079, 8.5309]], "species": ["Al", "Os", "Pt", "Pt"], "frac_coords": [[0.0000, 0.0000, 0.0000], [0.5000, 0.5000, 0.5000], [0.2541, 0.2541, 0.2541], [0.7459, 0.7459, 0.7459]]}

14.
{"formula": "In2CS", "functional": "meta-GGA SCAN", "state": "PBEsol geometry", "n_ef_per_ev_cell": 2.513, "raw_formation_energy_ev_per_atom": 1.24, "dft_energy_ev_per_cell": -81.53, "vol_a3_per_cell": 67.7, "lattice_angstrom": [[0.0000, 3.2350, 3.2350], [3.2350, 0.0000, 3.2350], [3.2350, 3.2350, 0.0000]], "species": ["In", "In", "C", "S"], "frac_coords": [[0.2500, 0.2500, 0.2500], [0.7500, 0.7500, 0.7500], [0.0000, 0.0000, 0.0000], [0.5000, 0.5000, 0.5000]]}

15.
{"formula": "BaSi2PdI", "functional": "meta-GGA SCAN", "state": "PBEsol geometry", "n_ef_per_ev_cell": 2.179, "raw_formation_energy_ev_per_atom": -0.35, "dft_energy_ev_per_cell": -130.85, "vol_a3_per_cell": 143.6, "lattice_angstrom": [[4.6455, 0.0000, 0.0000], [0.0000, 4.6455, 0.0000], [0.0000, 0.0000, 6.6534]], "species": ["Ba", "Si", "Si", "Pd", "I"], "frac_coords": [[0.0000, 0.0000, 0.0000], [0.0000, 0.5000, 0.5000], [0.5000, 0.0000, 0.5000], [0.0000, 0.0000, 0.5000], [0.5000, 0.5000, 0.0000]]}

16.
{"formula": "ScBiF2", "functional": "meta-GGA SCAN", "state": "PBEsol geometry", "n_ef_per_ev_cell": 2.740, "raw_formation_energy_ev_per_atom": -2.39, "dft_energy_ev_per_cell": -109.44, "vol_a3_per_cell": 84.4, "lattice_angstrom": [[1.6473, 0.9511, 8.9790], [-1.6473, 0.9511, 8.9790], [0.0000, -1.9022, 8.9790]], "species": ["Sc", "Bi", "F", "F"], "frac_coords": [[0.0000, 0.0000, 0.0000], [0.5000, 0.5000, 0.5000], [0.3707, 0.3707, 0.3707], [0.6293, 0.6293, 0.6293]]}

17.
{"formula": "ZrTeOs2C", "functional": "meta-GGA SCAN", "state": "PBEsol geometry", "n_ef_per_ev_cell": 2.418, "raw_formation_energy_ev_per_atom": 0.56, "dft_energy_ev_per_cell": -219.03, "vol_a3_per_cell": 79.5, "lattice_angstrom": [[4.0265, 0.0000, 0.0000], [0.0000, 4.0265, 0.0000], [0.0000, 0.0000, 4.9008]], "species": ["Zr", "Te", "Os", "Os", "C"], "frac_coords": [[0.0000, 0.0000, 0.0000], [0.5000, 0.5000, 0.0000], [0.0000, 0.5000, 0.5000], [0.5000, 0.0000, 0.5000], [0.5000, 0.5000, 0.5000]]}

18.
{"formula": "AlH2Br", "functional": "meta-GGA SCAN", "state": "PBEsol geometry", "n_ef_per_ev_cell": 2.179, "dft_energy_ev_per_cell": -69.53, "polymorph_energy_ev_per_atom": 0.000, "vol_a3_per_cell": 105.4, "lattice_angstrom": [[0.0000, 3.7488, 3.7488], [3.7488, 0.0000, 3.7488], [3.7488, 3.7488, 0.0000]], "species": ["Al", "Al", "H", "H", "H", "H", "Br", "Br"], "frac_coords": [[0.1250, 0.1250, 0.1250], [0.8750, 0.8750, 0.8750], [0.0000, 0.0000, 0.0000], [0.0000, 0.0000, 0.5000], [0.0000, 0.5000, 0.0000], [0.5000, 0.0000, 0.0000], [0.3750, 0.3750, 0.3750], [0.6250, 0.6250, 0.6250]]}

19.
{"formula": "Mn2HgS2", "functional": "meta-GGA SCAN", "state": "PBEsol geometry", "n_ef_per_ev_cell": 1.772, "raw_formation_energy_ev_per_atom": -0.43, "dft_energy_ev_per_cell": -126.09, "vol_a3_per_cell": 94.8, "lattice_angstrom": [[-1.7300, 1.7300, 7.9161], [1.7300, -1.7300, 7.9161], [1.7300, 1.7300, -7.9161]], "species": ["Mn", "Mn", "Hg", "S", "S"], "frac_coords": [[0.2500, 0.7500, 0.5000], [0.7500, 0.2500, 0.5000], [0.0000, 0.0000, 0.0000], [0.3372, 0.3372, 0.0000], [0.6628, 0.6628, 0.0000]]}

20.
{"formula": "Tc2C", "functional": "meta-GGA SCAN", "state": "PBEsol geometry", "n_ef_per_ev_cell": 3.846, "formation_enthalpy_0k_mev_per_atom": 324, "dft_energy_ev_per_cell": -158.50, "polymorph_energy_ev_per_atom": 0.291, "vol_a3_per_cell": 68.9, "lattice_angstrom": [[1.3837, -9.0779, 0.0000], [1.3837, 9.0779, 0.0000], [0.0000, 0.0000, 2.7422]], "species": ["Tc", "Tc", "Tc", "Tc", "C", "C"], "frac_coords": [[0.0589, 0.9411, 0.7500], [0.1932, 0.8068, 0.2500], [0.8068, 0.1932, 0.7500], [0.9411, 0.0589, 0.2500], [0.3547, 0.6453, 0.2500], [0.6453, 0.3547, 0.7500]]}